This record from the Alexandria database describes KLi3In after structural relaxation. The functional is PBE.

a = 5.4301 Å, b = 5.4301 Å, c = 5.4301 Å
α = 90.00°, β = 90.00°, γ = 90.00°
Last column: nearest neighbours and their distance in Å.
Element x y z (fractional)
Li (0.0000, 0.5000, 0.0000)  2 In 2.72
K (0.5000, 0.5000, 0.5000)  12 Li 3.84
In (0.0000, 0.0000, 0.0000)  6 Li 2.72
Li (0.0000, 0.0000, 0.5000)  2 In 2.72
Li (0.5000, 0.0000, 0.0000)  2 In 2.72

The calculation puts the final energy at -1.91 eV per atom. Its density of states at the Fermi level is 4.6 states/eV/cell. For the total magnetization, the calculation gives 0.00 μB/atom.


This record from the Alexandria database describes Ac2Mg3Cd6 after structural relaxation. The functional is PBE.

a = 4.4752 Å, b = 8.3650 Å, c = 8.3650 Å
α = 92.66°, β = 90.00°, γ = 90.00°
Last column: nearest neighbours and their distance in Å.
Element x y z (fractional)
Cd (0.5000, 0.3419, 0.0310)  2 Cd 2.72-2.93, 3 Mg 2.86-2.93
Cd (0.5000, 0.3808, 0.3808)  3 Cd 2.75-2.93, 2 Mg 3.03
Cd (0.5000, 0.6192, 0.6192)  3 Cd 2.75-2.93, 2 Mg 3.03
Cd (0.5000, 0.9690, 0.6581)  2 Cd 2.72-2.93, 3 Mg 2.86-2.93
Cd (0.5000, 0.0310, 0.3419)  2 Cd 2.72-2.93, 3 Mg 2.86-2.93
Mg (0.0000, 0.2042, 0.2042)  6 Cd 2.93-3.03, 2 Mg 3.25
Cd (0.5000, 0.6581, 0.9690)  2 Cd 2.72-2.93, 3 Mg 2.86-2.93
Mg (0.0000, 0.7958, 0.7958)  6 Cd 2.93-3.03, 2 Mg 3.25
Ac (0.0000, 0.2909, 0.7091)  8 Cd 3.51-3.65
Mg (0.5000, 0.0000, 0.0000)  4 Cd 2.86
Ac (0.0000, 0.7091, 0.2909)  8 Cd 3.51-3.65

The calculation puts the final energy at -1.80 eV per atom. Its density of states at the Fermi level is 7.8 states/eV/cell. For the total magnetization, the calculation gives 0.00 μB/atom.


This record from the Alexandria database describes NaLiCa2Pd after structural relaxation. The functional is PBE.

a = 5.5585 Å, b = 5.5585 Å, c = 5.5863 Å
α = 90.00°, β = 90.00°, γ = 90.00°
Last column: nearest neighbours and their distance in Å.
Element x y z (fractional)
Pd (0.0000, 0.0000, 0.0000)  4 Ca 2.78, 2 Na 2.79
Li (0.5000, 0.5000, 0.5000)  4 Na 3.93, 8 Ca 3.94
Ca (0.0000, 0.5000, 0.0000)  2 Pd 2.78
Na (0.0000, 0.0000, 0.5000)  2 Pd 2.79
Ca (0.5000, 0.0000, 0.0000)  2 Pd 2.78

The calculation puts the final energy at -2.60 eV per atom. Its density of states at the Fermi level is 3.5 states/eV/cell. For the total magnetization, the calculation gives 0.00 μB/atom.


This record from the Alexandria database describes SrErSc after structural relaxation. The functional is PBE.

a = 3.6892 Å, b = 3.6892 Å, c = 7.9744 Å
α = 103.37°, β = 103.37°, γ = 90.00°
Last column: nearest neighbours and their distance in Å.
Element x y z (fractional)
Sr (0.0049, 0.0049, 0.0098)  4 Sr 3.69, 4 Sc 3.73, 4 Er 3.89
Er (0.3132, 0.3132, 0.6263)  4 Sc 3.27
Sc (0.6820, 0.6820, 0.3639)  4 Er 3.27

The calculation puts the final energy at -3.99 eV per atom. Its density of states at the Fermi level is 5.7 states/eV/cell. For the total magnetization, the calculation gives 0.08 μB/atom.


Question: What is the total magnetization in the third record?
Answer: 0.00 μB/atom


Question: Look up the total magnetization of the fourth one.
Answer: 0.08 μB/atom


Question: Number 3 is which compound?
Answer: NaLiCa2Pd